AgIrN2F: relaxed, PBEsol.

a b c (Å): 3.832 4.000 4.000
angles (deg): 90.00 90.00 90.00
Positions (direct):
N1 0.000 0.000 0.500
N2 0.000 0.500 0.000
Ir1 0.500 0.500 0.500
Ag1 0.000 0.000 0.000
F1 0.500 0.000 0.000

Calculated values
The volume comes out at 12.26 Å³/atom. The uncorrected formation energy is 967.1 kJ/mol of formula units. Its total energy is -4.418 eV/atom. As for the density of states at the Fermi level: 1.28 states/eV per atom. The symmetry is P4/mmm.


Zn3PdF: relaxed, PBEsol.

a b c (Å): 4.133 4.133 4.133
angles (deg): 90.00 90.00 90.00
Positions (direct):
Zn1 0.000 0.500 0.000
Zn2 0.000 0.000 0.500
Zn3 0.500 0.000 0.000
Pd1 0.500 0.500 0.500
F1 0.000 0.000 0.000

Calculated values
The volume comes out at 14.12 Å³/atom. The uncorrected formation energy is -140.7 kJ/mol of formula units. Its total energy is -2.818 eV/atom. As for the density of states at the Fermi level: 0.16 states/eV per atom. The symmetry is Pm-3m.


AsPbAu2: relaxed, PBEsol.

a b c (Å): 3.983 3.977 6.836
angles (deg): 106.94 90.00 120.06
Positions (direct):
Pb1 0.493 0.986 0.480
As1 0.272 0.545 0.816
Au1 0.995 0.990 0.985
Au2 0.740 0.479 0.219

Calculated values
The volume comes out at 22.06 Å³/atom. Its total energy is -4.197 eV/atom. The calculation puts the energy of formation at 0.04 eV/atom. As for the density of states at the Fermi level: 0.39 states/eV per atom. The symmetry is Cm.